Compound: Cu4AgSn
Source: Alexandria
Functional: PBE-GGA
Structure: optimized geometry

The space group is F-43m (No. 216) and the conventional cell measures 7.081, 7.081 and 7.081 Å, with angles of 90.00, 90.00 and 90.00 degrees. The inequivalent atoms are Cu at (0.125, 0.125, 0.125), Ag at (0.250, 0.250, 0.750) and Sn at (0.000, 0.000, 0.500).

Its density of states at the Fermi level is 1.40 states/eV/f.u. For the electronic total energy, the calculation gives -3.86 eV per atom.